[1]
Here is a relaxed structure of Dy6Er8Tl from the Alexandria database. Energies are from GGA-PBE.

Properties
- crystal system = trigonal
- electronic total energy (eV/atom) = -4.2211
- calculated volume (Å³/cell) = 482.6

a b c (Å): 9.1364 9.1364 6.6764
angles (deg): 90.00 90.00 120.00
Fractional positions:
1 Dy 0.0810 0.6831 0.1009
2 Dy 0.3169 0.3979 0.1009
3 Dy 0.3979 0.0810 0.8991
4 Dy 0.6021 0.9190 0.1009
5 Dy 0.6831 0.6021 0.8991
6 Dy 0.9190 0.3169 0.8991
7 Er 0.0191 0.3344 0.3932
8 Er 0.3153 0.9809 0.3932
9 Er 0.3333 0.6667 0.6870
10 Er 0.3344 0.3153 0.6068
11 Er 0.6656 0.6847 0.3932
12 Er 0.6667 0.3333 0.3130
13 Er 0.6847 0.0191 0.6068
14 Er 0.9809 0.6656 0.6068
15 Tl 0.0000 0.0000 0.0000


[2]
Here is a relaxed structure of LaTb2Dy2Ho2 from the Alexandria database. Energies are from GGA-PBE.

Properties
- crystal system = monoclinic
- electronic total energy (eV/atom) = -4.6149
- calculated volume (Å³/cell) = 226.6

a b c (Å): 8.5803 8.5803 8.7679
angles (deg): 118.74 118.74 23.76
Fractional positions:
1 La 0.0000 0.0000 0.0000
2 Tb 0.0712 0.0712 0.4323
3 Tb 0.9288 0.9288 0.5677
4 Dy 0.3562 0.3562 0.1632
5 Dy 0.6438 0.6438 0.8368
6 Ho 0.2934 0.2934 0.7047
7 Ho 0.7066 0.7066 0.2953


[3]
Here is a relaxed structure of Dy3Y5Ho from the Alexandria database. Energies are from GGA-PBE.

Properties
- polymorph energy (0 for the lowest one) (meV/atom) = 169
- crystal system = monoclinic
- electronic total energy (eV/atom) = -5.4121
- calculated volume (Å³/cell) = 599.5

a b c (Å): 8.7246 8.7246 11.6909
angles (deg): 106.62 106.62 45.11
Fractional positions:
1 Dy 0.0000 0.0000 0.0000
2 Dy 0.0000 0.0000 0.5000
3 Dy 0.3389 0.4459 0.9865
4 Dy 0.4459 0.3389 0.4865
5 Dy 0.5541 0.6611 0.5135
6 Dy 0.6611 0.5541 0.0135
7 Y 0.0905 0.4765 0.2340
8 Y 0.1260 0.2394 0.4486
9 Y 0.1988 0.8012 0.2500
10 Y 0.2394 0.1260 0.9486
11 Y 0.4765 0.0905 0.7340
12 Y 0.5235 0.9095 0.2660
13 Y 0.7606 0.8740 0.0514
14 Y 0.8012 0.1988 0.7500
15 Y 0.8740 0.7606 0.5514
16 Y 0.9095 0.5235 0.7660
17 Ho 0.3087 0.6913 0.7500
18 Ho 0.6913 0.3087 0.2500


[4]
Here is a relaxed structure of RbBaTe2 from the Alexandria database. Energies are from GGA-PBE.

Properties
- crystal system = tetragonal
- electronic total energy (eV/atom) = -3.4609
- formation energy without anion corrections (eV/atom) = -1.17
- calculated volume (Å³/cell) = 160.5

a b c (Å): 4.5252 4.5252 7.8365
angles (deg): 90.00 90.00 90.00
Fractional positions:
1 Rb 0.0000 0.0000 0.0000
2 Ba 0.0000 0.0000 0.5000
3 Te 0.5000 0.5000 0.2785
4 Te 0.5000 0.5000 0.7215


[5]
Here is a relaxed structure of GaTcAu2 from the Alexandria database. Energies are from GGA-PBE.

Properties
- crystal system = trigonal
- electronic total energy (eV/atom) = -4.5601
- calculated volume (Å³/cell) = 70.5

a b c (Å): 10.5923 10.5923 10.5923
angles (deg): 15.13 15.13 15.13
Fractional positions:
1 Ga 0.0000 0.0000 0.0000
2 Tc 0.5000 0.5000 0.5000
3 Au 0.4123 0.4123 0.4123
4 Au 0.5877 0.5877 0.5877


[6]
Here is a relaxed structure of PmHo2ThAs4 from the Alexandria database. Energies are from GGA-PBE.

Properties
- crystal system = monoclinic
- electronic total energy (eV/atom) = -6.5020
- calculated volume (Å³/cell) = 205.6

a b c (Å): 7.2096 4.1818 7.2342
angles (deg): 90.00 109.49 90.00
Fractional positions:
1 Pm 0.0000 0.0000 0.0000
2 Ho 0.5000 0.0000 0.5000
3 Ho 0.5000 0.5000 0.0000
4 Th 0.0000 0.5000 0.5000
5 As 0.2581 0.5000 0.2535
6 As 0.2587 0.0000 0.7527
7 As 0.7413 0.0000 0.2473
8 As 0.7419 0.5000 0.7465


[7]
Here is a relaxed structure of MoPd7Pt3 from the Alexandria database. Energies are from GGA-PBE.

Properties
- crystal system = trigonal
- electronic total energy (eV/atom) = -5.9380
- calculated volume (Å³/cell) = 178.7

a b c (Å): 5.5342 5.5342 6.7389
angles (deg): 90.00 90.00 120.00
Fractional positions:
1 Mo 0.0000 0.0000 0.0000
2 Pd 0.3324 0.1662 0.3394
3 Pd 0.3333 0.6667 0.3442
4 Pd 0.5019 0.0038 0.0026
5 Pd 0.5019 0.4981 0.0026
6 Pd 0.8338 0.1662 0.3394
7 Pd 0.8338 0.6676 0.3394
8 Pd 0.9962 0.4981 0.0026
9 Pt 0.1651 0.3302 0.6779
10 Pt 0.1651 0.8349 0.6779
11 Pt 0.6698 0.8349 0.6779


[8]
Here is a relaxed structure of Na3CePa3N8 from the Alexandria database. Energies are from GGA-PBE.

Properties
- crystal system = monoclinic
- electronic total energy (eV/atom) = -7.9863
- formation energy without anion corrections (eV/atom) = -0.99
- calculated volume (Å³/cell) = 252.4

a b c (Å): 7.0708 7.0708 7.0285
angles (deg): 118.85 118.85 59.85
Fractional positions:
1 Na 0.0000 0.0000 0.0000
2 Na 0.0000 0.5000 0.5000
3 Na 0.5000 0.0000 0.5000
4 Ce 0.0000 0.0000 0.5000
5 Pa 0.0000 0.5000 0.0000
6 Pa 0.5000 0.0000 0.0000
7 Pa 0.5000 0.5000 0.5000
8 N 0.2295 0.2295 0.7834
9 N 0.2324 0.7192 0.2738
10 N 0.2672 0.2672 0.2270
11 N 0.2808 0.7676 0.7262
12 N 0.7192 0.2324 0.2738
13 N 0.7328 0.7328 0.7730
14 N 0.7676 0.2808 0.7262
15 N 0.7705 0.7705 0.2166


[9]
Here is a relaxed structure of Hf2FeRhC from the Alexandria database. Energies are from GGA-PBE.

Properties
- crystal system = tetragonal
- electronic total energy (eV/atom) = -9.5494
- calculated volume (Å³/cell) = 74.3

a b c (Å): 4.5320 4.5320 3.6157
angles (deg): 90.00 90.00 90.00
Fractional positions:
1 Hf 0.0000 0.5000 0.0000
2 Hf 0.5000 0.0000 0.0000
3 Fe 0.0000 0.0000 0.5000
4 Rh 0.5000 0.5000 0.5000
5 C 0.0000 0.0000 0.0000


[10]
Here is a relaxed structure of Ni3MoN from the Alexandria database. Energies are from GGA-PBE.

Properties
- polymorph energy (0 for the lowest one) (meV/atom) = 0
- crystal system = cubic
- electronic total energy (eV/atom) = -6.9484
- formation energy without anion corrections (eV/atom) = 0.35
- calculated volume (Å³/cell) = 55.8

a b c (Å): 3.8222 3.8222 3.8222
angles (deg): 90.00 90.00 90.00
Fractional positions:
1 Ni 0.0000 0.0000 0.5000
2 Ni 0.0000 0.5000 0.0000
3 Ni 0.5000 0.0000 0.0000
4 Mo 0.5000 0.5000 0.5000
5 N 0.0000 0.0000 0.0000


[11]
Here is a relaxed structure of Sm3EuS from the Alexandria database. Energies are from GGA-PBE.

Properties
- crystal system = cubic
- electronic total energy (eV/atom) = -6.3632
- formation energy without anion corrections (eV/atom) = -0.65
- calculated volume (Å³/cell) = 165.8

a b c (Å): 5.4936 5.4936 5.4936
angles (deg): 90.00 90.00 90.00
Fractional positions:
1 Sm 0.0000 0.0000 0.5000
2 Sm 0.0000 0.5000 0.0000
3 Sm 0.5000 0.0000 0.0000
4 Eu 0.5000 0.5000 0.5000
5 S 0.0000 0.0000 0.0000


[12]
Here is a relaxed structure of GePb3Cl from the Alexandria database. Energies are from GGA-PBE.

Properties
- polymorph energy (0 for the lowest one) (meV/atom) = 0
- crystal system = cubic
- electronic total energy (eV/atom) = -3.2865
- formation energy without anion corrections (eV/atom) = 0.23
- calculated volume (Å³/cell) = 180.4

a b c (Å): 5.6500 5.6500 5.6500
angles (deg): 90.00 90.00 90.00
Fractional positions:
1 Ge 0.0000 0.0000 0.0000
2 Pb 0.0000 0.0000 0.5000
3 Pb 0.0000 0.5000 0.0000
4 Pb 0.5000 0.0000 0.0000
5 Cl 0.5000 0.5000 0.5000